The following is a DFT calculation (PBE) of a geometry-optimized CaLuCuSn structure.

Properties
**Uncorrected energy**: -64.8 eV/cell
**ρ**: 6.9 g/cm³
**Size of the total moment**: 0.00 μB per formula unit

Unit cell a=7.267 b=7.267 c=7.267 alpha=90.00 beta=90.00 gamma=90.00
Space group F-43m (No. 216)
Asymmetric unit:
Ca (0.000, 0.000, 0.000) (multiplicity 4)
Lu (0.000, 0.000, 0.500) (multiplicity 4)
Cu (0.250, 0.250, 0.250) (multiplicity 4)
Sn (0.250, 0.250, 0.750) (multiplicity 4)